Compound: LaPr6Tm2Th
Source: the Alexandria database
Functional: GGA-PBE
Structure: optimized geometry

Summary:
As for the space-group type: C2/c, No. 15. The energy of formation from the pure elements comes out at 1.34 eV per formula unit. As for the total energy: -0.357 Ry/atom. For the volume, the calculation gives 35.07 Å³/atom.

```
LaPr6Tm2Th
1.0
-6.300 7.391 -1.949
-5.525 -4.164 5.648
6.166 5.289 3.710
Pr Tm La Th
12 4 2 2
direct
0.380 0.511 0.300
0.683 0.015 0.577
0.183 0.577 0.015
0.317 0.985 0.423
0.120 0.700 0.489
0.442 0.239 0.896
0.620 0.489 0.700
0.817 0.423 0.985
0.880 0.300 0.511
0.558 0.761 0.104
0.942 0.896 0.239
0.058 0.104 0.761
0.949 0.716 0.805
0.449 0.805 0.716
0.051 0.284 0.195
0.551 0.195 0.284
0.250 0.403 0.597
0.750 0.597 0.403
0.250 0.968 0.032
0.750 0.032 0.968
```